1.
The following is a meta-GGA SCAN calculation of CaP2Au at its PBEsol-relaxed geometry, from Alexandria.

For the density of states at the Fermi level, the calculation gives 0.295 states/eV per atom. The density is 5.979 Mg/m³. The value obtained for the volume is 83 Å³ per cell. As for the size of the total moment: 0.000 μB per atom. The total energy is -102.2 eV/f.u.

The structure belongs to space group P2/m (No. 10); the cell edges are 4.262, 3.884 and 5.032 Å and the angles 90.00°, 94.76° and 90.00°. The inequivalent atoms are Ca at (0.000, 0.000, 0.000), P at (0.407, 0.500, 0.787) and Au at (0.500, 0.000, 0.500).

***

2.
The following is a meta-GGA SCAN calculation of CaPAu2 at its PBEsol-relaxed geometry, from Alexandria.

For the density of states at the Fermi level, the calculation gives 0.320 states/eV per atom. The density is 9.616 Mg/m³. The value obtained for the volume is 80 Å³ per cell. As for the size of the total moment: 0.000 μB per atom. The total energy is -159.7 eV/f.u.

The structure belongs to space group Pmm2 (No. 25); the cell edges are 3.284, 4.374 and 5.590 Å and the angles 90.00°, 90.00° and 90.00°. The inequivalent atoms are Ca at (0.000, 0.000, 0.000), P at (0.500, 0.500, 0.103), Au at (0.000, 0.000, 0.511) and Au at (0.500, 0.500, 0.563).

***

3.
The following is a meta-GGA SCAN calculation of CaP3Au at its PBEsol-relaxed geometry, from Alexandria.

For the density of states at the Fermi level, the calculation gives 0.670 states/eV per atom. The density is 4.330 Mg/m³. The value obtained for the volume is 127 Å³ per cell. As for the size of the total moment: 0.000 μB per atom. The total energy is -102.7 eV/f.u.

The structure belongs to space group Pm-3m (No. 221); the cell edges are 5.020, 5.020 and 5.020 Å and the angles 90.00°, 90.00° and 90.00°. The inequivalent atoms are Ca at (0.000, 0.000, 0.000), P at (0.000, 0.000, 0.500) and Au at (0.500, 0.500, 0.500).

***

4.
The following is a meta-GGA SCAN calculation of CaP2Au at its PBEsol-relaxed geometry, from Alexandria.

For the density of states at the Fermi level, the calculation gives 0.404 states/eV per atom. The density is 7.087 Mg/m³. The value obtained for the volume is 70 Å³ per cell. As for the size of the total moment: 0.000 μB per atom. The total energy is -100.6 eV/f.u.

The structure belongs to space group P4/mmm (No. 123); the cell edges are 4.310, 4.310 and 3.770 Å and the angles 90.00°, 90.00° and 90.00°. The inequivalent atoms are Ca at (0.000, 0.000, 0.000), P at (0.000, 0.500, 0.500) and Au at (0.500, 0.500, 0.000).

***

5.
The following is a meta-GGA SCAN calculation of CaTi2PAu at its PBEsol-relaxed geometry, from Alexandria.

For the density of states at the Fermi level, the calculation gives 1.046 states/eV per atom. The density is 5.569 Mg/m³. The value obtained for the volume is 108 Å³ per cell. As for the size of the total moment: 0.889 μB per atom. The total energy is -112.7 eV/f.u.

The structure belongs to space group P4/mmm (No. 123); the cell edges are 4.739, 4.739 and 4.829 Å and the angles 90.00°, 90.00° and 90.00°. The inequivalent atoms are Ca at (0.000, 0.000, 0.000), Ti at (0.000, 0.500, 0.000), P at (0.500, 0.500, 0.500) and Au at (0.000, 0.000, 0.500).

***

6.
The following is a meta-GGA SCAN calculation of CaPbAu at its PBEsol-relaxed geometry, from Alexandria.

For the density of states at the Fermi level, the calculation gives 0.192 states/eV per atom. The density is 10.165 Mg/m³. The value obtained for the volume is 73 Å³ per cell. As for the size of the total moment: 0.000 μB per atom. The total energy is -156.9 eV/f.u.

The structure belongs to space group P-6m2 (No. 187); the cell edges are 4.8488, 4.8488 and 3.5641 Å and the angles 90.00°, 90.00° and 120.00°. The inequivalent atoms are Ca at (0.0000, 0.0000, 0.0000), Pb at (0.3333, 0.6667, 0.5000) and Au at (0.6667, 0.3333, 0.5000).